# 1
Entry from Alexandria via LeMat-Bulk: an optimized crystal structure of MgAl2Co (PBE).

Values from the calculation:
* crystal system: tetragonal
* magnetization: 0.077 μB per atom
* electronic total energy: -4.19 eV per atom
* formation energy from the elements: -143 meV per atom
* calculated density: 3.74 g cm⁻³
* density of states at the Fermi level: 0.5163 states/eV per atom

The structure in CIF format:
```
data_MgAl2Co
_chemical_formula_sum 'Mg1 Al2 Co1'
_cell_length_a 3.083
_cell_length_b 3.083
_cell_length_c 6.416
_cell_angle_alpha 90.00
_cell_angle_beta 90.00
_cell_angle_gamma 90.00
_symmetry_space_group_name_H-M 'P 4 m m'
_symmetry_Int_Tables_number 99
loop_
_symmetry_equiv_pos_as_xyz
'x,y,z'
'-y,x,z'
'-x,-y,z'
'y,-x,z'
'-x,y,z'
'y,x,z'
'x,-y,z'
'-y,-x,z'
loop_
_atom_site_label
_atom_site_type_symbol
_atom_site_fract_x
_atom_site_fract_y
_atom_site_fract_z
Mg1 Mg 0.000 0.000 0.000
Al1 Al 0.000 0.000 0.570
Al2 Al 0.500 0.500 0.310
Co1 Co 0.500 0.500 0.732
```

# 2
Entry from Alexandria via LeMat-Bulk: an optimized crystal structure of TmZrAlTc (PBE).

Values from the calculation:
* crystal system: cubic
* magnetization: 0.000 μB per atom
* electronic total energy: -7.07 eV per atom
* formation energy from the elements: -291 meV per atom
* calculated density: 8.12 g cm⁻³
* density of states at the Fermi level: 0.4848 states/eV per atom

The structure in CIF format:
```
data_TmZrAlTc
_chemical_formula_sum 'Tm4 Zr4 Al4 Tc4'
_cell_length_a 6.803
_cell_length_b 6.803
_cell_length_c 6.803
_cell_angle_alpha 90.00
_cell_angle_beta 90.00
_cell_angle_gamma 90.00
_symmetry_space_group_name_H-M 'F -4 3 m'
_symmetry_Int_Tables_number 216
_symmetry_space_group_name_Hall 'F -4 2 3'
loop_
_atom_site_label
_atom_site_type_symbol
_atom_site_fract_x
_atom_site_fract_y
_atom_site_fract_z
Tm1 Tm 0.000 0.000 0.000
Zr1 Zr 0.000 0.000 0.500
Al1 Al 0.250 0.250 0.750
Tc1 Tc 0.250 0.250 0.250
```

# 3
Entry from Alexandria via LeMat-Bulk: an optimized crystal structure of La2YPu3Se6 (PBE).

Values from the calculation:
* crystal system: monoclinic
* raw formation energy: -20.7 eV/f.u.
* magnetization: 0.472 μB per atom
* electronic total energy: -8.41 eV per atom
* calculated density: 8.34 g cm⁻³
* density of states at the Fermi level: 2.4987 states/eV per atom

The structure in CIF format:
```
data_La2YPu3Se6
_chemical_formula_sum 'La4 Y2 Pu6 Se12'
_cell_length_a 18.267
_cell_length_b 4.183
_cell_length_c 8.403
_cell_angle_alpha 90.00
_cell_angle_beta 102.77
_cell_angle_gamma 90.00
_symmetry_space_group_name_H-M 'C 1 2/m 1'
_symmetry_Int_Tables_number 12
loop_
_symmetry_equiv_pos_as_xyz
'x,y,z'
'-x,-y,-z'
'-x,y,-z'
'x,-y,z'
'x+1/2,y+1/2,z'
'-x+1/2,-y+1/2,-z'
'-x+1/2,y+1/2,-z'
'x+1/2,-y+1/2,z'
loop_
_atom_site_label
_atom_site_type_symbol
_atom_site_fract_x
_atom_site_fract_y
_atom_site_fract_z
La1 La 0.165 0.000 0.335
Y1 Y 0.000 0.500 0.000
Pu1 Pu 0.000 0.500 0.500
Pu2 Pu 0.169 0.000 0.836
Se1 Se 0.004 0.000 0.756
Se2 Se 0.165 0.500 0.074
Se3 Se 0.165 0.500 0.592
```

# 4
Entry from Alexandria via LeMat-Bulk: an optimized crystal structure of ZrZnRh2 (PBE).

Values from the calculation:
* crystal system: tetragonal
* magnetization: 0.000 μB per atom
* electronic total energy: -6.78 eV per atom
* formation energy from the elements: -652 meV per atom
* calculated density: 9.56 g cm⁻³
* density of states at the Fermi level: 0.7684 states/eV per atom

The structure in CIF format:
```
data_ZrZnRh2
_chemical_formula_sum 'Zr2 Zn2 Rh4'
_cell_length_a 3.811
_cell_length_b 3.811
_cell_length_c 8.674
_cell_angle_alpha 90.00
_cell_angle_beta 90.00
_cell_angle_gamma 90.00
_symmetry_space_group_name_H-M 'I -4 m 2'
_symmetry_Int_Tables_number 119
_symmetry_space_group_name_Hall 'I -4 -2'
loop_
_atom_site_label
_atom_site_type_symbol
_atom_site_fract_x
_atom_site_fract_y
_atom_site_fract_z
Zr1 Zr 0.000 0.000 0.000
Zn1 Zn 0.000 0.500 0.250
Rh1 Rh 0.000 0.000 0.500
Rh2 Rh 0.000 0.500 0.750
```

# 5
Entry from Alexandria via LeMat-Bulk: an optimized crystal structure of MgTl4Pb3 (PBE).

Values from the calculation:
* crystal system: tetragonal
* magnetization: 0.000 μB per atom
* electronic total energy: -2.77 eV per atom
* formation energy from the elements: 3 meV per atom
* relative energy among the computed polymorphs: 9 meV per atom
* calculated density: 10.25 g cm⁻³
* density of states at the Fermi level: 0.3987 states/eV per atom

The structure in CIF format:
```
data_MgTl4Pb3
_chemical_formula_sum 'Mg1 Tl4 Pb3'
_cell_length_a 3.480
_cell_length_b 3.480
_cell_length_c 19.568
_cell_angle_alpha 90.00
_cell_angle_beta 90.00
_cell_angle_gamma 90.00
_symmetry_space_group_name_H-M 'P 4/m m m'
_symmetry_Int_Tables_number 123
_symmetry_space_group_name_Hall '-P 4 2'
loop_
_atom_site_label
_atom_site_type_symbol
_atom_site_fract_x
_atom_site_fract_y
_atom_site_fract_z
Mg1 Mg 0.000 0.000 0.000
Tl1 Tl 0.500 0.500 0.109
Tl2 Tl 0.500 0.500 0.368
Pb1 Pb 0.000 0.000 0.236
Pb2 Pb 0.000 0.000 0.500
```

# 6
Entry from Alexandria via LeMat-Bulk: an optimized crystal structure of AlSiPN4 (PBE).

Values from the calculation:
* crystal system: monoclinic
* raw formation energy: -4.4 eV/f.u.
* magnetization: 0.000 μB per atom
* electronic total energy: -7.47 eV per atom
* relative energy among the computed polymorphs: 152 meV per atom
* calculated density: 3.54 g cm⁻³
* density of states at the Fermi level: 0.0000 states/eV per atom

The structure in CIF format:
```
data_AlSiPN4
_chemical_formula_sum 'Al1 Si1 P1 N4'
_cell_length_a 4.822
_cell_length_b 2.894
_cell_length_c 4.940
_cell_angle_alpha 90.00
_cell_angle_beta 105.07
_cell_angle_gamma 90.00
_symmetry_space_group_name_H-M 'P 1 m 1'
_symmetry_Int_Tables_number 6
loop_
_symmetry_equiv_pos_as_xyz
'x,y,z'
'x,-y,z'
loop_
_atom_site_label
_atom_site_type_symbol
_atom_site_fract_x
_atom_site_fract_y
_atom_site_fract_z
Al1 Al 0.000 0.000 0.000
Si1 Si 0.342 0.500 0.624
P1 P 0.604 0.500 0.177
N1 N 0.208 0.000 0.727
N2 N 0.281 0.500 0.242
N3 N 0.700 0.500 0.864
N4 N 0.758 0.000 0.295
```

# 7
Entry from Alexandria via LeMat-Bulk: an optimized crystal structure of PRuRh2 (PBE).

Values from the calculation:
* crystal system: tetragonal
* magnetization: 0.000 μB per atom
* electronic total energy: -7.36 eV per atom
* formation energy from the elements: -10 meV per atom
* calculated density: 10.36 g cm⁻³
* density of states at the Fermi level: 0.8871 states/eV per atom

The structure in CIF format:
```
data_PRuRh2
_chemical_formula_sum 'P2 Ru2 Rh4'
_cell_length_a 3.793
_cell_length_b 3.793
_cell_length_c 7.529
_cell_angle_alpha 90.00
_cell_angle_beta 90.00
_cell_angle_gamma 90.00
_symmetry_space_group_name_H-M 'I 4/m m m'
_symmetry_Int_Tables_number 139
_symmetry_space_group_name_Hall '-I 4 2'
loop_
_atom_site_label
_atom_site_type_symbol
_atom_site_fract_x
_atom_site_fract_y
_atom_site_fract_z
P1 P 0.000 0.000 0.000
Ru1 Ru 0.000 0.000 0.500
Rh1 Rh 0.000 0.500 0.250
```

# 8
Entry from Alexandria via LeMat-Bulk: an optimized crystal structure of Tb2Si3Os (PBE).

Values from the calculation:
* crystal system: orthorhombic
* raw formation energy: -1.6 eV/f.u.
* magnetization: 0.000 μB per atom
* electronic total energy: -6.39 eV per atom
* relative energy among the computed polymorphs: 391 meV per atom
* calculated density: 8.10 g cm⁻³
* density of states at the Fermi level: 0.9922 states/eV per atom

The structure in CIF format:
```
data_Tb2Si3Os
_chemical_formula_sum 'Tb4 Si6 Os2'
_cell_length_a 4.235
_cell_length_b 5.543
_cell_length_c 10.341
_cell_angle_alpha 90.00
_cell_angle_beta 90.00
_cell_angle_gamma 90.00
_symmetry_space_group_name_H-M 'I m m m'
_symmetry_Int_Tables_number 71
_symmetry_space_group_name_Hall '-I 2 2'
loop_
_atom_site_label
_atom_site_type_symbol
_atom_site_fract_x
_atom_site_fract_y
_atom_site_fract_z
Tb1 Tb 0.000 0.000 0.185
Si1 Si 0.000 0.500 0.120
Si2 Si 0.000 0.500 0.500
Os1 Os 0.000 0.000 0.500
```

# 9
Entry from Alexandria via LeMat-Bulk: an optimized crystal structure of MgNiH4Pd2 (PBE).

Values from the calculation:
* crystal system: tetragonal
* magnetization: 0.000 μB per atom
* electronic total energy: -4.09 eV per atom
* calculated density: 6.94 g cm⁻³
* density of states at the Fermi level: 0.2820 states/eV per atom

The structure in CIF format:
```
data_MgNiH4Pd2
_chemical_formula_sum 'Mg2 Ni2 H8 Pd4'
_cell_length_a 4.922
_cell_length_b 4.922
_cell_length_c 5.925
_cell_angle_alpha 90.00
_cell_angle_beta 90.00
_cell_angle_gamma 90.00
_symmetry_space_group_name_H-M 'I -4 2 m'
_symmetry_Int_Tables_number 121
_symmetry_space_group_name_Hall 'I -4 2'
loop_
_atom_site_label
_atom_site_type_symbol
_atom_site_fract_x
_atom_site_fract_y
_atom_site_fract_z
Mg1 Mg 0.000 0.000 0.000
Ni1 Ni 0.000 0.000 0.500
H1 H 0.191 0.191 0.329
Pd1 Pd 0.000 0.500 0.250
```

# 10
Entry from Alexandria via LeMat-Bulk: an optimized crystal structure of PmNd4Tm (PBE).

Values from the calculation:
* crystal system: orthorhombic
* magnetization: 0.000 μB per atom
* electronic total energy: -4.70 eV per atom
* formation energy from the elements: 17 meV per atom
* relative energy among the computed polymorphs: 0 meV per atom
* calculated density: 7.19 g cm⁻³
* density of states at the Fermi level: 1.4752 states/eV per atom

The structure in CIF format:
```
data_PmNd4Tm
_chemical_formula_sum 'Pm2 Nd8 Tm2'
_cell_length_a 5.162
_cell_length_b 15.473
_cell_length_c 5.150
_cell_angle_alpha 90.00
_cell_angle_beta 90.00
_cell_angle_gamma 90.00
_symmetry_space_group_name_H-M 'C m m m'
_symmetry_Int_Tables_number 65
_symmetry_space_group_name_Hall '-C 2 2'
loop_
_atom_site_label
_atom_site_type_symbol
_atom_site_fract_x
_atom_site_fract_y
_atom_site_fract_z
Pm1 Pm 0.000 0.000 0.000
Nd1 Nd 0.000 0.166 0.500
Nd2 Nd 0.000 0.335 0.000
Tm1 Tm 0.000 0.500 0.500
```

# 11
Entry from Alexandria via LeMat-Bulk: an optimized crystal structure of RbTlO2 (PBE).

Values from the calculation:
* crystal system: cubic
* raw formation energy: -1.2 eV/f.u.
* magnetization: 0.000 μB per atom
* electronic total energy: -3.61 eV per atom
* calculated density: 8.00 g cm⁻³
* density of states at the Fermi level: 0.4444 states/eV per atom

The structure in CIF format:
```
data_RbTlO2
_chemical_formula_sum 'Rb4 Tl4 O8'
_cell_length_a 6.441
_cell_length_b 6.441
_cell_length_c 6.441
_cell_angle_alpha 90.00
_cell_angle_beta 90.00
_cell_angle_gamma 90.00
_symmetry_space_group_name_H-M 'F m -3 m'
_symmetry_Int_Tables_number 225
_symmetry_space_group_name_Hall '-F 4 2 3'
loop_
_atom_site_label
_atom_site_type_symbol
_atom_site_fract_x
_atom_site_fract_y
_atom_site_fract_z
Rb1 Rb 0.000 0.000 0.000
Tl1 Tl 0.000 0.000 0.500
O1 O 0.250 0.250 0.250
```

# 12
Entry from Alexandria via LeMat-Bulk: an optimized crystal structure of Li4ZrRu (PBE).

Values from the calculation:
* crystal system: cubic
* magnetization: 0.001 μB per atom
* electronic total energy: -4.05 eV per atom
* formation energy from the elements: 200 meV per atom
* calculated density: 4.20 g cm⁻³
* density of states at the Fermi level: 1.0500 states/eV per atom

The structure in CIF format:
```
data_Li4ZrRu
_chemical_formula_sum 'Li16 Zr4 Ru4'
_cell_length_a 7.035
_cell_length_b 7.035
_cell_length_c 7.035
_cell_angle_alpha 90.00
_cell_angle_beta 90.00
_cell_angle_gamma 90.00
_symmetry_space_group_name_H-M 'F -4 3 m'
_symmetry_Int_Tables_number 216
_symmetry_space_group_name_Hall 'F -4 2 3'
loop_
_atom_site_label
_atom_site_type_symbol
_atom_site_fract_x
_atom_site_fract_y
_atom_site_fract_z
Li1 Li 0.122 0.122 0.122
Zr1 Zr 0.000 0.000 0.500
Ru1 Ru 0.250 0.250 0.750
```